Below is an optimized crystal structure of ThScGa2, with properties calculated at the PBE level.

abc: 4.696 4.696 4.132
angles: 90.00 90.00 90.00
Sites, in units of the cell vectors:
Th: 0.000 0.000 0.000
Sc: 0.500 0.500 0.000
Ga: 0.000 0.500 0.500
Ga: 0.500 0.000 0.500

Values from the calculation:
Crystal system = tetragonal
ΔE_f = -420 meV/atom
Symmetry = P4/mmm (123)
Size of the total moment = 0.00 μB per cell
Total energy = -5.37 eV per atom
Energy above the most stable polymorph in this dataset = 128.1 meV per atom

***

Below is an optimized crystal structure of ThSc2Ga, with properties calculated at the PBE level.

abc: 9.881 9.881 9.881
angles: 19.87 19.87 19.87
Sites, in units of the cell vectors:
Th: 0.000 0.000 0.000
Sc: 0.239 0.239 0.239
Sc: 0.761 0.761 0.761
Ga: 0.500 0.500 0.500

Values from the calculation:
Crystal system = trigonal
ΔE_f = -173 meV/atom
Symmetry = R-3m (166)
Size of the total moment = 0.00 μB per cell
Total energy = -5.95 eV per atom
Energy above the most stable polymorph in this dataset = 133.2 meV per atom

***

Below is an optimized crystal structure of ThScGa, with properties calculated at the PBE level.

abc: 6.778 6.778 6.778
angles: 150.81 150.81 41.75
Sites, in units of the cell vectors:
Th: 0.000 0.000 0.000
Sc: 0.299 0.299 0.000
Ga: 0.669 0.669 0.000

Values from the calculation:
Crystal system = tetragonal
ΔE_f = -281 meV/atom
Symmetry = I4mm (107)
Size of the total moment = 0.00 μB per cell
Total energy = -5.87 eV per atom
Energy above the most stable polymorph in this dataset = 138.7 meV per atom

***

Below is an optimized crystal structure of ThScGa3, with properties calculated at the PBE level.

abc: 12.702 12.702 4.140
angles: 90.00 90.00 160.99
Sites, in units of the cell vectors:
Th: 0.075 0.925 0.750
Th: 0.925 0.075 0.250
Sc: 0.204 0.796 0.250
Sc: 0.796 0.204 0.750
Ga: 0.317 0.683 0.250
Ga: 0.375 0.625 0.750
Ga: 0.474 0.526 0.750
Ga: 0.526 0.474 0.250
Ga: 0.625 0.375 0.250
Ga: 0.683 0.317 0.750

Values from the calculation:
Crystal system = orthorhombic
ΔE_f = -609 meV/atom
Symmetry = Cmcm (63)
Size of the total moment = 0.00 μB per cell
Total energy = -5.18 eV per atom
Energy above the most stable polymorph in this dataset = 0.0 meV per atom

***

Below is an optimized crystal structure of Th2ScGa2, with properties calculated at the PBE level.

abc: 7.582 7.582 4.424
angles: 90.00 90.00 90.00
Sites, in units of the cell vectors:
Th: 0.174 0.326 0.000
Th: 0.326 0.826 0.000
Th: 0.674 0.174 0.000
Th: 0.826 0.674 0.000
Sc: 0.000 0.000 0.500
Sc: 0.500 0.500 0.500
Ga: 0.125 0.625 0.500
Ga: 0.375 0.125 0.500
Ga: 0.625 0.875 0.500
Ga: 0.875 0.375 0.500

Values from the calculation:
Crystal system = tetragonal
ΔE_f = -490 meV/atom
Symmetry = P4/mbm (127)
Size of the total moment = 0.00 μB per cell
Total energy = -5.93 eV per atom

***

Below is an optimized crystal structure of ThScGa2, with properties calculated at the PBE level.

abc: 9.228 9.228 9.228
angles: 21.76 21.76 21.76
Sites, in units of the cell vectors:
Th: 0.000 0.000 0.000
Sc: 0.500 0.500 0.500
Ga: 0.243 0.243 0.243
Ga: 0.757 0.757 0.757

Values from the calculation:
Crystal system = trigonal
ΔE_f = -304 meV/atom
Symmetry = R-3m (166)
Size of the total moment = 0.00 μB per cell
Total energy = -5.26 eV per atom
Energy above the most stable polymorph in this dataset = 244.0 meV per atom

***

Below is an optimized crystal structure of ThSc2Ga6, with properties calculated at the PBE level.

abc: 7.529 7.529 3.635
angles: 90.00 90.00 120.00
Sites, in units of the cell vectors:
Th: 0.000 0.000 0.000
Sc: 0.333 0.667 0.000
Sc: 0.667 0.333 0.000
Ga: 0.000 0.339 0.500
Ga: 0.000 0.661 0.500
Ga: 0.339 0.000 0.500
Ga: 0.339 0.339 0.500
Ga: 0.661 0.000 0.500
Ga: 0.661 0.661 0.500

Values from the calculation:
Crystal system = hexagonal
ΔE_f = -502 meV/atom
Symmetry = P6/mmm (191)
Size of the total moment = 0.00 μB per cell
Total energy = -4.75 eV per atom
Energy above the most stable polymorph in this dataset = 0.0 meV per atom

***

Below is an optimized crystal structure of ThSc2Ga, with properties calculated at the PBE level.

abc: 4.595 4.595 4.508
angles: 90.00 90.00 90.00
Sites, in units of the cell vectors:
Th: 0.000 0.000 0.000
Sc: 0.000 0.500 0.500
Sc: 0.500 0.000 0.500
Ga: 0.500 0.500 0.000

Values from the calculation:
Crystal system = tetragonal
ΔE_f = -222 meV/atom
Symmetry = P4/mmm (123)
Size of the total moment = 0.00 μB per cell
Total energy = -6.00 eV per atom
Energy above the most stable polymorph in this dataset = 84.1 meV per atom